ScTlPb2 | Alexandria | PBE | optimized geometry; size of the total moment = 0.00 μB/f.u.; energy of formation from the pure elements = -0.128 eV per atom; symmetry = P2/m (10)
1.0
-2.040 -1.538 3.842
1.884 -2.994 -0.199
6.748 -0.057 3.559
Pb Tl Sc
2 1 1
Cartesian
2.001 -2.962 -0.124
4.199 -1.559 1.605
5.454 -3.058 4.441
1.138 -1.532 2.761